[1]
Crystalline Rb3PuF7 at its relaxed geometry. Source: Alexandria, functional GGA-PBE.

a b c (Å): 9.198 8.716 7.396
angles (deg): 90.00 125.02 90.00
Space group Cm (No. 8)
Inequivalent atoms, fractional coordinates:
Rb: 0.000 0.000 0.000 x2
Rb: 0.499 0.238 0.475 x4
Pu: 0.037 0.500 0.005 x2
F: 0.133 0.292 0.217 x4
F: 0.137 0.500 0.791 x2
F: 0.353 0.500 0.235 x2
F: 0.363 0.000 0.119 x2
F: 0.370 0.178 0.763 x4

Raw formation energy in eV/atom: -3.143

---

[2]
Crystalline KPmSeO4 at its relaxed geometry. Source: Alexandria, functional GGA-PBE.

a b c (Å): 7.003 7.160 9.658
angles (deg): 90.00 90.00 90.00
Space group Imma (No. 74)
Inequivalent atoms, fractional coordinates:
K: 0.000 0.000 0.000 x4
Pm: 0.250 0.250 0.250 x4
Se: 0.000 0.250 0.626 x4
O: 0.000 0.038 0.263 x8
O: 0.195 0.250 0.516 x8

Raw formation energy in eV/atom: -1.718

---

[3]
Crystalline AlNiAgSe at its relaxed geometry. Source: Alexandria, functional GGA-PBE.

a b c (Å): 2.864 3.929 12.429
angles (deg): 90.00 90.00 90.00
Space group Amm2 (No. 38)
Inequivalent atoms, fractional coordinates:
Al: 0.000 0.000 0.000 x2
Ni: 0.500 0.000 0.478 x2
Ag: 0.000 0.000 0.664 x2
Se: 0.500 0.000 0.293 x2

Raw formation energy in eV/atom: -0.153

---

Look up the raw formation energy of the first one.
-3.143 eV/atom

---

Among the records above, which one has the highest raw formation energy?
AlNiAgSe